1.
# Li2SbIO8 (PBE, optimized geometry)
data_Li2SbIO8
_chemical_formula_sum 'Li2 Sb1 I1 O8'
_cell_length_a 4.806
_cell_length_b 6.189
_cell_length_c 4.808
_cell_angle_alpha 90.00
_cell_angle_beta 93.82
_cell_angle_gamma 90.00
_space_group_name_H-M_alt 'P 1 2/m 1'
_space_group_IT_number 10
loop_
_space_group_symop_operation_xyz
'x,y,z'
'-x,-y,-z'
'-x,y,-z'
'x,-y,z'
loop_
_atom_site_label
_atom_site_type_symbol
_atom_site_fract_x
_atom_site_fract_y
_atom_site_fract_z
Li1 Li 0.000 0.248 0.000
Sb1 Sb 0.500 0.500 0.500
I1 I 0.500 0.000 0.500
O1 O 0.205 0.500 0.207
O2 O 0.219 0.000 0.221
O3 O 0.315 0.236 0.687
# density = 4.545 g cm⁻³
# uncorrected formation energy = -781 meV per atom
# DOS(E_F) = 9.2 states/eV/cell
# VASP energy = -4.878 eV/atom


2.
# LaPmPr6Y2 (PBE, optimized geometry)
data_LaPmPr6Y2
_chemical_formula_sum 'La2 Pm2 Pr12 Y4'
_cell_length_a 11.391
_cell_length_b 7.136
_cell_length_c 9.068
_cell_angle_alpha 90.00
_cell_angle_beta 103.03
_cell_angle_gamma 90.00
_space_group_name_H-M_alt 'C 1 2/m 1'
_space_group_IT_number 12
loop_
_space_group_symop_operation_xyz
'x,y,z'
'-x,-y,-z'
'-x,y,-z'
'x,-y,z'
'x+1/2,y+1/2,z'
'-x+1/2,-y+1/2,-z'
'-x+1/2,y+1/2,-z'
'x+1/2,-y+1/2,z'
loop_
_atom_site_label
_atom_site_type_symbol
_atom_site_fract_x
_atom_site_fract_y
_atom_site_fract_z
La1 La 0.000 0.000 0.000
Pm1 Pm 0.000 0.500 0.500
Pr1 Pr 0.136 0.500 0.928
Pr2 Pr 0.176 0.230 0.302
Y1 Y 0.091 0.000 0.660
# density = 6.045 g cm⁻³
# DOS(E_F) = 41.1 states/eV/cell
# ΔH_f (0 K) = 201 meV per atom
# VASP energy = -4.928 eV/atom


3.
# Pr2SmPu3Te6 (PBE, optimized geometry)
data_Pr2SmPu3Te6
_chemical_formula_sum 'Pr4 Sm2 Pu6 Te12'
_cell_length_a 19.524
_cell_length_b 4.450
_cell_length_c 8.965
_cell_angle_alpha 90.00
_cell_angle_beta 103.93
_cell_angle_gamma 90.00
_space_group_name_H-M_alt 'C 1 2/m 1'
_space_group_IT_number 12
loop_
_space_group_symop_operation_xyz
'x,y,z'
'-x,-y,-z'
'-x,y,-z'
'x,-y,z'
'x+1/2,y+1/2,z'
'-x+1/2,-y+1/2,-z'
'-x+1/2,y+1/2,-z'
'x+1/2,-y+1/2,z'
loop_
_atom_site_label
_atom_site_type_symbol
_atom_site_fract_x
_atom_site_fract_y
_atom_site_fract_z
Pr1 Pr 0.167 0.000 0.334
Sm1 Sm 0.000 0.500 0.000
Pu1 Pu 0.000 0.500 0.500
Pu2 Pu 0.168 0.000 0.834
Te1 Te 0.002 0.000 0.750
Te2 Te 0.165 0.500 0.588
Te3 Te 0.167 0.500 0.078
# density = 8.478 g cm⁻³
# uncorrected formation energy = -1274 meV per atom
# DOS(E_F) = 67.5 states/eV/cell
# VASP energy = -7.618 eV/atom


4.
# NaTlIn3 (PBE, optimized geometry)
data_NaTlIn3
_chemical_formula_sum 'Na2 Tl2 In6'
_cell_length_a 7.543
_cell_length_b 4.757
_cell_length_c 7.657
_cell_angle_alpha 90.00
_cell_angle_beta 90.47
_cell_angle_gamma 90.00
_space_group_name_H-M_alt 'P 1 21/m 1'
_space_group_IT_number 11
loop_
_space_group_symop_operation_xyz
'x,y,z'
'-x,-y,-z'
'-x,y+1/2,-z'
'x,-y+1/2,z'
loop_
_atom_site_label
_atom_site_type_symbol
_atom_site_fract_x
_atom_site_fract_y
_atom_site_fract_z
Na1 Na 0.048 0.250 0.153
Tl1 Tl 0.439 0.250 0.351
In1 In 0.141 0.750 0.452
In2 In 0.256 0.250 0.760
In3 In 0.351 0.750 0.047
# density = 6.912 g cm⁻³
# DOS(E_F) = 4.0 states/eV/cell
# ΔH_f (0 K) = -42 meV per atom
# VASP energy = -2.422 eV/atom
# offset from the most stable computed form = 0.0 kJ/mol of atoms